Entry 1:
Below is an optimized crystal structure of Dy2NpTl2Se6, with properties calculated at the PBE-GGA level.

```
Dy2NpTl2Se6
1.0
7.192 -0.027 0.059
-3.578 6.239 0.059
-1.295 -2.225 7.779
Se Tl Np Dy
6 2 1 2
Cartesian
0.615 5.137 2.409 Se
4.162 3.074 2.409 Se
1.769 3.041 5.549 Se
0.550 0.946 2.348 Se
-1.843 0.913 5.487 Se
1.705 -1.150 5.487 Se
-1.766 5.185 0.059 Tl
5.380 1.027 0.059 Tl
-0.647 -1.113 3.890 Np
-0.640 3.041 3.948 Dy
2.960 0.946 3.948 Dy
```

Computed properties:
formation energy from raw total energies: -1.298 eV/atom
ρ: 6.8 g/cm3
space group: C2/m
E_tot: -62.1 eV for the cell shown

Entry 2:
Below is an optimized crystal structure of DyNpTl2Se4, with properties calculated at the PBE-GGA level.

```
DyNpTl2Se4
1.0
-2.493 -1.307 3.126
5.628 -3.559 3.001
-0.057 7.517 3.098
Se Tl Dy Np
4 2 1 1
Cartesian
3.033 2.590 6.333 Se
0.044 0.061 2.891 Se
1.437 5.046 3.256 Se
4.135 -1.088 2.843 Se
-1.275 3.105 3.112 Tl
2.786 1.979 3.050 Tl
0.000 0.000 0.000 Dy
1.567 -2.433 3.063 Np
```

Computed properties:
formation energy from raw total energies: -1.134 eV/atom
ρ: 7.8 g/cm3
space group: P2/m
E_tot: -45.3 eV for the cell shown

Entry 3:
Below is an optimized crystal structure of DyNp3Tl4Se8, with properties calculated at the PBE-GGA level.

```
DyNp3Tl4Se8
1.0
-0.874 -7.274 4.180
6.379 2.682 6.000
-6.663 5.055 -1.107
Se Tl Dy Np
8 4 1 3
Cartesian
-2.180 5.094 4.127 Se
1.022 -4.632 4.946 Se
-2.331 -2.089 4.389 Se
-2.620 1.434 6.230 Se
1.173 2.551 4.684 Se
0.718 -1.091 6.762 Se
-1.875 1.553 2.311 Se
1.462 -0.972 2.843 Se
0.000 0.000 0.000 Tl
-0.437 -3.637 2.090 Tl
-3.332 2.527 -0.554 Tl
-3.768 -1.110 1.536 Tl
3.190 1.341 3.000 Dy
-0.579 0.231 4.536 Np
2.753 -2.296 5.090 Np
-0.142 3.868 2.447 Np
```

Computed properties:
formation energy from raw total energies: -1.019 eV/atom
ρ: 8.1 g/cm3
space group: R-3m
E_tot: -97.1 eV for the cell shown

Entry 4:
Below is an optimized crystal structure of DyNp2Tl3Se6, with properties calculated at the PBE-GGA level.

```
DyNp2Tl3Se6
1.0
-0.117 -4.112 6.024
4.692 -1.533 -5.370
3.756 6.540 3.065
Se Tl Np Dy
6 3 2 1
Cartesian
1.037 -0.416 2.670 Se
5.697 0.455 4.833 Se
2.634 0.440 -1.115 Se
7.294 1.311 1.049 Se
4.134 -2.819 1.107 Se
4.197 3.714 2.612 Se
5.766 1.306 -1.934 Tl
2.565 -0.411 5.653 Tl
4.165 0.448 1.859 Tl
1.486 -3.252 2.226 Np
3.089 -2.393 -1.572 Np
0.000 0.000 0.000 Dy
```

Computed properties:
formation energy from raw total energies: -1.054 eV/atom
ρ: 8.0 g/cm3
space group: C2/m
E_tot: -71.1 eV for the cell shown

Entry 5:
Below is an optimized crystal structure of DyNpSi, with properties calculated at the PBE-GGA level.

```
DyNpSi
1.0
-1.377 -0.814 2.590
6.845 -0.123 3.601
-1.294 11.233 2.844
Np Si Dy
4 4 4
Cartesian
0.397 10.339 5.252 Np
0.527 4.106 3.360 Np
3.702 6.188 5.704 Np
5.011 -0.066 4.433 Np
-0.256 6.488 1.904 Si
0.769 1.906 1.008 Si
3.370 4.665 3.259 Si
3.340 9.230 4.679 Si
1.024 7.141 4.579 Dy
2.371 1.817 3.621 Dy
5.026 8.420 7.109 Dy
4.903 3.123 5.378 Dy
```

Computed properties:
formation energy from raw total energies: 0.127 eV/atom
ρ: 10.3 g/cm3
space group: Pmc2_1
E_tot: -90.3 eV for the cell shown

Entry 6:
Below is an optimized crystal structure of Dy2NpSi6, with properties calculated at the PBE-GGA level.

```
Dy2NpSi6
1.0
-0.976 3.264 -1.896
3.584 -2.201 -5.634
-6.804 -1.631 0.696
Si Dy Np
6 2 1
Cartesian
-2.750 1.090 -0.717 Si
-1.559 0.358 -2.590 Si
-5.029 0.543 -0.484 Si
-2.637 -0.926 -4.244 Si
0.704 0.900 -2.821 Si
-4.899 -1.468 -4.013 Si
-0.855 1.253 -5.420 Dy
-3.341 -1.821 -1.414 Dy
-6.804 -1.631 0.696 Np
```

Computed properties:
formation energy from raw total energies: -0.469 eV/atom
ρ: 7.3 g/cm3
space group: P6/mmm
E_tot: -58.9 eV for the cell shown

Entry 7:
Below is an optimized crystal structure of SmDyNp, with properties calculated at the PBE-GGA level.

```
SmDyNp
1.0
-0.765 -0.779 -3.378
5.801 0.041 -1.323
-0.869 -7.673 3.831
Np Dy Sm
2 2 2
Cartesian
4.412 -3.797 -0.124 Np
-0.246 -4.614 -0.746 Np
0.111 -6.976 1.583 Dy
4.055 -1.435 -2.453 Dy
2.598 -6.409 -0.976 Sm
1.568 -2.002 0.106 Sm
```

Computed properties:
ρ: 10.5 g/cm3
space group: C2/m
E_tot: -43.1 eV for the cell shown

Entry 8:
Below is an optimized crystal structure of TbDyNp, with properties calculated at the PBE-GGA level.

```
TbDyNp
1.0
3.547 0.000 0.000
0.000 5.825 -0.132
-1.774 -1.432 8.287
Np Tb Dy
2 2 2
Cartesian
1.774 0.063 4.324 Np
0.000 4.330 3.831 Np
1.774 2.873 6.154 Tb
0.000 1.520 2.001 Tb
1.774 4.427 1.000 Dy
0.000 -0.034 7.156 Dy
```

Computed properties:
ρ: 10.9 g/cm3
space group: C2/m
E_tot: -43.0 eV for the cell shown

Entry 9:
Below is an optimized crystal structure of DyNpTc2, with properties calculated at the PBE-GGA level.

```
DyNpTc2
1.0
-0.859 -2.046 2.502
3.231 -0.463 0.730
-0.209 5.436 4.373
Tc Np Dy
2 1 1
Cartesian
-0.044 1.136 0.914 Tc
-0.165 4.300 3.460 Tc
1.186 -1.255 1.616 Np
1.081 1.463 3.803 Dy
```

Computed properties:
relative energy among the computed polymorphs: 0 meV per atom
ρ: 12.7 g/cm3
space group: P4/mmm
E_tot: -38.3 eV for the cell shown

Entry 10:
Below is an optimized crystal structure of DyNpTc2, with properties calculated at the PBE-GGA level.

```
DyNpTc2
1.0
3.320 0.000 0.000
1.660 2.875 0.000
1.660 0.958 8.320
Tc Dy Np
2 1 1
Cartesian
1.660 0.958 1.713 Tc
4.980 2.875 6.607 Tc
3.320 1.917 4.160 Dy
0.000 0.000 0.000 Np
```

Computed properties:
relative energy among the computed polymorphs: 157 meV per atom
ρ: 12.5 g/cm3
space group: R-3m
E_tot: -37.7 eV for the cell shown

Entry 11:
Below is an optimized crystal structure of DyNpTc4, with properties calculated at the PBE-GGA level.

```
DyNpTc4
1.0
-2.720 4.464 -1.282
-5.244 0.380 1.151
-1.669 3.341 3.876
Tc Np Dy
4 1 1
Cartesian
-3.397 4.927 1.765 Tc
-6.023 5.117 2.341 Tc
-4.661 2.882 2.983 Tc
-5.187 3.444 0.401 Tc
-2.409 2.046 0.936 Np
0.000 0.000 0.000 Dy
```

Computed properties:
ρ: 11.9 g/cm3
space group: F-43m
E_tot: -58.6 eV for the cell shown

Entry 12:
Below is an optimized crystal structure of DyNpTe3, with properties calculated at the PBE-GGA level.

```
DyNpTe3
1.0
-2.777 -2.286 -2.461
4.336 -6.872 1.490
-9.603 -3.088 13.701
Te Dy Np
12 4 4
Cartesian
2.589 -7.759 2.355 Te
-2.426 -9.106 5.405 Te
-1.070 -4.537 -0.367 Te
-6.676 -5.386 10.604 Te
-5.744 -7.048 7.238 Te
-2.300 -5.198 5.492 Te
-10.633 -4.487 10.375 Te
-3.916 -8.632 10.504 Te
-4.128 -3.614 2.226 Te
-1.368 -6.859 2.125 Te
-5.618 -3.140 7.324 Te
-6.974 -7.709 13.097 Te
-2.722 -7.278 7.900 Dy
-5.322 -4.968 4.830 Dy
0.843 -7.119 -0.129 Dy
-8.888 -5.127 12.858 Dy
-6.957 -8.528 9.979 Np
0.233 -7.427 4.703 Np
-8.278 -4.819 8.026 Np
-1.087 -3.718 2.750 Np
```

Computed properties:
formation energy from raw total energies: -1.019 eV/atom
ρ: 8.5 g/cm3
space group: Pnma
E_tot: -128.3 eV for the cell shown

Q: Among the records above, which one has the lowest E_tot?
A: DyNpTe3

Q: The highest ρ belongs to which entry?
A: number 9

Please write out number 12 again, unchanged.
Below is an optimized crystal structure of DyNpTe3, with properties calculated at the PBE-GGA level.

```
DyNpTe3
1.0
-2.777 -2.286 -2.461
4.336 -6.872 1.490
-9.603 -3.088 13.701
Te Dy Np
12 4 4
Cartesian
2.589 -7.759 2.355 Te
-2.426 -9.106 5.405 Te
-1.070 -4.537 -0.367 Te
-6.676 -5.386 10.604 Te
-5.744 -7.048 7.238 Te
-2.300 -5.198 5.492 Te
-10.633 -4.487 10.375 Te
-3.916 -8.632 10.504 Te
-4.128 -3.614 2.226 Te
-1.368 -6.859 2.125 Te
-5.618 -3.140 7.324 Te
-6.974 -7.709 13.097 Te
-2.722 -7.278 7.900 Dy
-5.322 -4.968 4.830 Dy
0.843 -7.119 -0.129 Dy
-8.888 -5.127 12.858 Dy
-6.957 -8.528 9.979 Np
0.233 -7.427 4.703 Np
-8.278 -4.819 8.026 Np
-1.087 -3.718 2.750 Np
```

Computed properties:
formation energy from raw total energies: -1.019 eV/atom
ρ: 8.5 g/cm3
space group: Pnma
E_tot: -128.3 eV for the cell shown

Q: Among the records above, which one has the highest E_tot?
A: number 10